# LiHfBr3

A crystal of LiHfBr3 relaxed with PBEsol (SCAN, Alexandria via LeMat-Bulk).

```
LiHfBr3
1.0
5.2268 0.0000 0.0000
0.0000 5.2268 0.0000
0.0000 0.0000 5.2268
Li Hf Br
1 1 3
direct
0.0000 0.0000 0.0000
0.5000 0.5000 0.5000
0.0000 0.5000 0.5000
0.5000 0.0000 0.5000
0.5000 0.5000 0.0000
```

## Properties
The value obtained for the spin magnetization is 0.0 μB per formula unit. The formation energy (no corrections) is -0.774 eV per atom. The density of states at the Fermi level comes out at 0.446 states/eV/atom. Its symmetry is No. 221.